[1]
ZrReI2O: optimized geometry, PBE.

```
ZrReI2O
1.0
-4.159 3.232 -2.767
-1.126 -4.568 -3.643
-2.768 -1.364 2.566
Re I O Zr
1 2 1 1
Direct
0.500 0.500 0.500
0.000 0.500 0.000
0.500 0.000 0.000
0.000 0.000 0.500
0.000 0.000 0.000
```

- M_tot (μB per atom) = 1.025
- formation energy without anion corrections (eV per atom) = 0.143
- offset from the most stable computed form (eV per atom) = 0.000
- symmetry = P4/mmm (123)


[2]
MoWAu2: optimized geometry, PBE.

```
MoWAu2
1.0
2.734 0.000 0.000
0.000 4.183 0.000
0.000 0.000 5.873
Au Mo W
2 1 1
Direct
0.000 0.000 0.996
0.500 0.500 0.253
0.000 0.000 0.510
0.500 0.500 0.741
```

- M_tot (μB per atom) = 0.000
- offset from the most stable computed form (eV per atom) = 0.090
- symmetry = Pmm2 (25)
- ΔH_f (0 K) (eV/atom) = 0.295


[3]
Cd6HgAu12: optimized geometry, PBE.

```
Cd6HgAu12
1.0
-5.358 -3.033 -4.251
-2.580 -1.045 6.944
-0.975 7.341 -1.061
Au Cd Hg
12 6 1
Direct
0.973 0.746 0.244
0.746 0.244 0.973
0.027 0.254 0.756
0.616 0.188 0.551
0.449 0.384 0.812
0.384 0.812 0.449
0.551 0.616 0.188
0.812 0.449 0.384
0.188 0.551 0.616
0.244 0.973 0.746
0.756 0.027 0.254
0.254 0.756 0.027
0.154 0.437 0.195
0.563 0.805 0.846
0.437 0.195 0.154
0.195 0.154 0.437
0.805 0.846 0.563
0.846 0.563 0.805
0.000 0.000 0.000
```

- M_tot (μB per atom) = 0.000
- symmetry = R-3 (148)
- ΔH_f (0 K) (eV/atom) = -0.069


[4]
Cs2PPbSe4: optimized geometry, PBE.

```
Cs2PPbSe4
1.0
6.824 0.000 0.000
3.412 7.474 0.000
3.412 0.000 12.685
Se P Cs Pb
8 2 4 2
Direct
0.537 0.191 0.111
0.839 0.809 0.889
0.272 0.191 0.889
0.478 0.309 0.611
0.353 0.809 0.111
0.213 0.309 0.389
0.911 0.691 0.611
0.397 0.691 0.389
0.500 0.000 0.000
0.250 0.500 0.500
0.819 0.000 0.362
0.931 0.500 0.138
0.181 0.000 0.638
0.569 0.500 0.862
0.000 0.000 0.000
0.750 0.500 0.500
```

- M_tot (μB per atom) = 0.000
- formation energy without anion corrections (eV per atom) = -0.559
- symmetry = Fddd (70)


[5]
Ba3AlGe2: optimized geometry, PBE.

```
Ba3AlGe2
1.0
-3.300 1.298 2.963
0.732 -6.370 7.210
6.491 4.585 8.825
Ba Ge Al
6 4 2
Direct
0.950 0.840 0.260
0.050 0.160 0.740
0.211 0.195 0.383
0.789 0.805 0.617
0.347 0.311 0.995
0.653 0.689 0.005
0.865 0.471 0.799
0.588 0.284 0.539
0.412 0.716 0.461
0.135 0.529 0.201
0.572 0.515 0.341
0.428 0.485 0.659
```

- M_tot (μB per atom) = 0.000
- offset from the most stable computed form (eV per atom) = 0.099
- symmetry = C2/m (12)
- ΔH_f (0 K) (eV/atom) = -0.333


[6]
DyPaSiAg: optimized geometry, PBE.

```
DyPaSiAg
1.0
5.043 0.000 0.000
2.521 4.367 0.000
2.521 1.456 4.117
Si Dy Ag Pa
1 1 1 1
Direct
0.000 0.000 0.000
0.750 0.750 0.750
0.500 0.500 0.500
0.250 0.250 0.250
```

- M_tot (μB per atom) = 0.254
- formation energy without anion corrections (eV per atom) = -0.105
- symmetry = F-43m (216)


[7]
TeMoIN2: optimized geometry, PBE.

```
TeMoIN2
1.0
4.110 0.000 0.000
0.000 5.868 0.000
0.000 0.000 4.110
N I Te Mo
2 1 1 1
Direct
0.500 0.000 0.000
0.000 0.000 0.500
0.500 0.500 0.500
0.000 0.000 0.000
0.000 0.500 0.000
```

- M_tot (μB per atom) = 0.705
- formation energy without anion corrections (eV per atom) = 1.738
- offset from the most stable computed form (eV per atom) = 1.016
- symmetry = P4/mmm (123)


[8]
TbPm2Ho4Mg: optimized geometry, PBE.

```
TbPm2Ho4Mg
1.0
-2.616 -0.617 -4.166
-1.759 -4.307 1.742
-9.567 0.566 5.923
Ho Tb Pm Mg
4 1 2 1
Direct
0.000 0.749 0.751
0.500 0.249 0.751
0.500 0.751 0.249
0.000 0.251 0.249
0.000 0.500 0.500
0.500 0.000 0.500
0.000 0.000 0.000
0.500 0.500 0.000
```

- M_tot (μB per atom) = 0.001
- symmetry = Pmmm (47)
- ΔH_f (0 K) (eV/atom) = 0.028


[9]
CaTeAs2: optimized geometry, PBE.

```
CaTeAs2
1.0
5.884 -0.008 0.012
2.395 5.374 -0.012
-3.658 -3.425 3.083
Te As Ca
1 2 1
Direct
0.220 0.720 0.500
0.978 0.978 0.000
0.795 0.295 0.500
0.506 0.506 0.000
```

- M_tot (μB per atom) = 0.000
- formation energy without anion corrections (eV per atom) = -0.463
- symmetry = Imm2 (44)


[10]
HfSn2Ir2: optimized geometry, PBE.

```
HfSn2Ir2
1.0
4.018 0.000 0.000
0.000 4.018 0.000
2.009 2.009 6.219
Sn Ir Hf
2 2 1
Direct
0.250 0.750 0.500
0.750 0.250 0.500
0.400 0.400 0.200
0.600 0.600 0.800
0.000 0.000 0.000
```

- M_tot (μB per atom) = 0.000
- offset from the most stable computed form (eV per atom) = 0.119
- symmetry = I4/mmm (139)
- ΔH_f (0 K) (eV/atom) = -0.120


[11]
Rb3Np3ReS8: optimized geometry, PBE.

```
Rb3Np3ReS8
1.0
7.717 0.000 0.000
-3.859 6.683 -0.034
0.000 -4.416 7.999
Re S Rb Np
1 8 3 3
Direct
0.000 0.000 0.500
0.268 0.535 0.303
0.732 0.465 0.697
0.786 0.033 0.319
0.214 0.967 0.681
0.248 0.033 0.319
0.752 0.967 0.681
0.214 0.429 0.681
0.786 0.571 0.319
0.000 0.500 0.000
0.500 0.500 0.000
0.000 0.000 0.000
0.500 0.000 0.500
0.500 0.500 0.500
0.000 0.500 0.500
```

- M_tot (μB per atom) = 0.599
- formation energy without anion corrections (eV per atom) = -1.120
- symmetry = R-3m (166)


[12]
PrEuHgAu: optimized geometry, PBE.

```
PrEuHgAu
1.0
-1.183 -3.705 -3.718
-2.570 -4.509 1.418
-5.109 -0.769 -1.500
Pr Hg Au Eu
1 1 1 1
Direct
0.500 0.500 0.500
0.250 0.250 0.250
0.750 0.750 0.750
0.000 0.000 0.000
```

- M_tot (μB per atom) = 1.823
- symmetry = F-43m (216)
- ΔH_f (0 K) (eV/atom) = -0.619


[13]
SrGaRh: optimized geometry, PBE.

```
SrGaRh
1.0
4.435 0.000 0.000
0.000 4.435 0.000
0.000 0.000 7.351
Sr Rh Ga
2 2 2
Direct
0.500 0.000 0.190
0.000 0.500 0.810
0.500 0.500 0.500
0.000 0.000 0.500
0.000 0.500 0.331
0.500 0.000 0.669
```

- M_tot (μB per atom) = 0.000
- symmetry = P4/nmm (129)
- ΔH_f (0 K) (eV/atom) = -0.643


[14]
Er2BeZn: optimized geometry, PBE.

```
Er2BeZn
1.0
3.292 0.000 0.000
1.646 2.851 0.000
1.646 0.950 10.428
Er Zn Be
2 1 1
Direct
0.907 0.907 0.278
0.093 0.093 0.722
0.500 0.500 0.500
0.000 0.000 0.000
```

- M_tot (μB per atom) = 0.000
- offset from the most stable computed form (eV per atom) = 0.739
- symmetry = R-3m (166)
- ΔH_f (0 K) (eV/atom) = 0.606


[15]
Sc4Zn2HgPd: optimized geometry, PBE.

```
Sc4Zn2HgPd
1.0
-0.746 3.871 -2.725
-3.805 0.187 -2.907
-5.740 4.576 3.857
Zn Sc Pd Hg
2 4 1 1
Direct
0.749 0.749 0.752
0.251 0.251 0.248
0.871 0.871 0.386
0.380 0.380 0.861
0.620 0.620 0.139
0.129 0.129 0.614
0.500 0.500 0.500
0.000 0.000 0.000
```

- M_tot (μB per atom) = 0.000
- symmetry = R-3m (166)
- ΔH_f (0 K) (eV/atom) = -0.505


[16]
InGa2Ag: optimized geometry, PBE.

```
InGa2Ag
1.0
-0.424 -0.735 -4.332
-3.411 -2.518 0.761
-2.598 3.420 -0.326
Ga Ag In
2 1 1
Direct
0.000 0.000 0.500
0.000 0.500 0.000
0.500 0.000 0.000
0.500 0.500 0.500
```

- M_tot (μB per atom) = 0.000
- symmetry = P4/mmm (123)
- ΔH_f (0 K) (eV/atom) = 0.054


[17]
LiPm2Rh: optimized geometry, PBE.

```
LiPm2Rh
1.0
3.700 0.000 0.000
0.000 4.987 0.000
0.000 0.000 4.987
Pm Rh Li
2 1 1
Direct
0.000 0.000 0.500
0.000 0.500 0.000
0.500 0.500 0.500
0.500 0.000 0.000
```

- M_tot (μB per atom) = 0.000
- symmetry = P4/mmm (123)
- ΔH_f (0 K) (eV/atom) = -0.321


[18]
Nd2HoSn: optimized geometry, PBE.

```
Nd2HoSn
1.0
-2.405 1.161 2.199
2.785 -2.379 4.302
8.356 10.939 0.639
Nd Ho Sn
4 2 2
Direct
0.095 0.750 0.189
0.905 0.250 0.811
0.811 0.750 0.623
0.189 0.250 0.377
0.028 0.250 0.056
0.972 0.750 0.944
0.696 0.750 0.391
0.304 0.250 0.609
```

- M_tot (μB per atom) = 0.000
- offset from the most stable computed form (eV per atom) = 0.374
- symmetry = Cmcm (63)
- ΔH_f (0 K) (eV/atom) = -0.057


[19]
YMn2Tc: optimized geometry, PBE.

```
YMn2Tc
1.0
3.082 -0.004 0.000
0.004 3.082 0.000
0.000 0.000 7.107
Tc Mn Y
1 2 1
Direct
0.500 0.500 0.250
0.000 0.000 0.447
0.000 0.000 0.053
0.500 0.500 0.750
```

- M_tot (μB per atom) = 1.132
- offset from the most stable computed form (eV per atom) = 0.038
- symmetry = P4/mmm (123)
- ΔH_f (0 K) (eV/atom) = 0.230


[20]
TaVSe: optimized geometry, PBE.

```
TaVSe
1.0
-0.850 -3.134 -1.633
-1.200 -1.078 2.693
-9.520 3.177 -1.141
Se V Ta
2 2 2
Direct
0.250 0.668 0.664
0.750 0.332 0.336
0.750 0.466 0.068
0.250 0.534 0.932
0.750 0.102 0.795
0.250 0.898 0.205
```

- M_tot (μB per atom) = 0.000
- formation energy without anion corrections (eV per atom) = -0.153
- symmetry = Cmcm (63)


[21]
KMnTe2: optimized geometry, PBE.

```
KMnTe2
1.0
-0.055 -2.767 2.889
1.838 -2.400 -2.264
7.850 3.085 3.103
Te Mn K
2 1 1
Direct
0.500 0.500 0.514
0.000 0.000 0.896
0.500 0.500 0.807
0.000 0.000 0.283
```

- M_tot (μB per atom) = 1.081
- formation energy without anion corrections (eV per atom) = -0.314
- symmetry = Pmm2 (25)


[22]
CdIn2Ni: optimized geometry, PBE.

```
CdIn2Ni
1.0
-6.414 2.746 -0.485
-6.412 0.800 -2.675
-2.786 -2.568 2.279
Cd Ni In
1 1 2
Direct
0.182 0.182 0.317
0.496 0.496 0.504
0.005 0.005 0.996
0.817 0.817 0.684
```

- M_tot (μB per atom) = 0.000
- symmetry = Cm (8)
- ΔH_f (0 K) (eV/atom) = -0.041


[23]
Sc4AgHg3: optimized geometry, PBE.

```
Sc4AgHg3
1.0
-1.368 -4.707 0.643
1.048 -2.322 4.236
-7.159 0.130 4.726
Sc Hg Ag
4 3 1
Direct
0.626 0.626 0.123
0.876 0.876 0.372
0.374 0.374 0.877
0.124 0.124 0.628
0.500 0.500 0.500
0.748 0.748 0.756
0.252 0.252 0.244
0.000 0.000 0.000
```

- M_tot (μB per atom) = 0.000
- symmetry = R-3m (166)
- ΔH_f (0 K) (eV/atom) = -0.396


[24]
Pu2Tc2P2N: optimized geometry, PBE.

```
Pu2Tc2P2N
1.0
3.270 0.000 0.000
1.635 5.889 0.207
0.000 1.714 5.733
Pu P N Tc
2 2 1 2
Direct
0.514 0.971 0.741
0.486 0.029 0.259
0.823 0.355 0.427
0.177 0.645 0.573
0.000 0.000 0.000
0.799 0.403 0.827
0.201 0.597 0.173
```

- M_tot (μB per atom) = 1.296
- formation energy without anion corrections (eV per atom) = -0.571
- symmetry = C2/m (12)


[25]
Na2LiIF6: optimized geometry, PBE.

```
Na2LiIF6
1.0
-6.110 1.407 -1.397
-3.579 -0.376 4.230
-3.389 5.118 1.233
Na F I Li
2 6 1 1
Direct
0.068 0.030 0.889
0.565 0.519 0.414
0.982 0.080 0.297
0.614 0.376 0.053
0.019 0.575 0.250
0.650 0.891 0.007
0.497 0.788 0.653
0.136 0.470 0.650
0.316 0.229 0.152
0.816 0.704 0.652
```

- M_tot (μB per atom) = 0.000
- formation energy without anion corrections (eV per atom) = -2.189
- symmetry = C2 (5)


[26]
CdPBr2: optimized geometry, PBE.

```
CdPBr2
1.0
3.422 0.000 0.000
0.000 3.422 0.000
0.000 0.000 8.720
Br P Cd
2 1 1
Direct
0.500 0.500 0.328
0.000 0.000 0.919
0.500 0.500 0.728
0.000 0.000 0.526
```

- M_tot (μB per atom) = 0.000
- formation energy without anion corrections (eV per atom) = 0.204
- offset from the most stable computed form (eV per atom) = 0.424
- symmetry = P4mm (99)